This record from Alexandria describes a relaxed structure of NaInSnAu. The functional is PBE-GGA.

abc: 7.2106 7.2106 7.2106
angles: 90.00 90.00 90.00
With the nearest neighbours (Å) after each atom.
Space group F-43m (No. 216)
One atom of each set of equivalent atoms:
Na 0.0000 0.0000 0.0000  4 In 3.12, 4 Au 3.12
In 0.2500 0.2500 0.7500  4 Na 3.12, 4 Sn 3.12
Sn 0.0000 0.0000 0.5000  4 In 3.12, 4 Au 3.12
Au 0.2500 0.2500 0.2500  4 Sn 3.12, 4 Na 3.12

Output
* formation enthalpy at 0 K: -2.96 kcal/mol of atoms
* energy relative to the lowest polymorph listed for this composition: 0.0 meV per atom
* mass density: 8.0 Mg/m³